# PBE SmSc2Au, relaxed
# ΔE_f: -169 meV per atom
# final energy: -5.334 eV/atom
# offset from the most stable computed form: 198.7 meV/atom
# space group: Fm-3m, No. 225
data_SmSc2Au
_chemical_formula_sum 'Sm1 Sc2 Au1'
_cell_length_a 5.0442
_cell_length_b 5.0442
_cell_length_c 5.0432
_cell_angle_alpha 59.99
_cell_angle_beta 59.99
_cell_angle_gamma 60.00
_symmetry_space_group_name_H-M 'P 1'
_symmetry_Int_Tables_number 1
_symmetry_space_group_name_Hall 'P 1'
loop_
_atom_site_label
_atom_site_fract_x
_atom_site_fract_y
_atom_site_fract_z
Sc1 0.7500 0.7500 0.7501
Sc2 0.2500 0.2500 0.2499
Sm1 0.0000 0.0000 0.0000
Au1 0.5000 0.5000 0.5000



# PBE Sm2ScAu6, relaxed
# ΔE_f: -723 meV per atom
# final energy: -4.660 eV/atom
# offset from the most stable computed form: 0.0 meV/atom
# space group: C2/m, No. 12
data_Sm2ScAu6
_chemical_formula_sum 'Sm2 Sc1 Au6'
_cell_length_a 5.2537
_cell_length_b 5.2665
_cell_length_c 8.5349
_cell_angle_alpha 72.03
_cell_angle_beta 81.02
_cell_angle_gamma 59.62
_symmetry_space_group_name_H-M 'P 1'
_symmetry_Int_Tables_number 1
_symmetry_space_group_name_Hall 'P 1'
loop_
_atom_site_label
_atom_site_fract_x
_atom_site_fract_y
_atom_site_fract_z
Sm1 0.5000 0.1651 0.1698
Au1 0.3273 0.3309 0.5000
Au2 0.8351 0.1682 0.8174
Au3 0.6727 0.6691 0.5000
Au4 0.1649 0.5144 0.8174
Sm2 0.5000 0.8349 0.8302
Au5 0.8351 0.4856 0.1826
Sc1 0.0000 0.0000 0.5000
Au6 0.1649 0.8318 0.1826



# PBE SmSc3Au2, relaxed
# ΔE_f: -617 meV per atom
# final energy: -5.661 eV/atom
# space group: Pmc2_1, No. 26
data_SmSc3Au2
_chemical_formula_sum 'Sm2 Sc6 Au4'
_cell_length_a 4.7355
_cell_length_b 6.8629
_cell_length_c 8.5433
_cell_angle_alpha 90.00
_cell_angle_beta 90.00
_cell_angle_gamma 90.00
_symmetry_space_group_name_H-M 'P 1'
_symmetry_Int_Tables_number 1
_symmetry_space_group_name_Hall 'P 1'
loop_
_atom_site_label
_atom_site_fract_x
_atom_site_fract_y
_atom_site_fract_z
Au1 0.5000 0.2544 0.1423
Sc1 0.5000 0.6510 0.1663
Sm1 0.5000 0.0154 0.4307
Au2 0.0000 0.7485 0.3411
Sc2 0.0000 0.8481 0.6822
Sc3 0.5000 0.1510 0.8337
Au3 0.5000 0.7544 0.8577
Au4 0.0000 0.2485 0.6589
Sc4 0.0000 0.4827 0.9361
Sc5 0.0000 0.3481 0.3178
Sm2 0.5000 0.5154 0.5693
Sc6 0.0000 0.9827 0.0639



# PBE SmSc2Au3, relaxed
# ΔE_f: -799 meV per atom
# final energy: -5.335 eV/atom
# space group: P4/mmm, No. 123
data_SmSc2Au3
_chemical_formula_sum 'Sm1 Sc2 Au3'
_cell_length_a 3.4630
_cell_length_b 3.4630
_cell_length_c 10.6313
_cell_angle_alpha 90.00
_cell_angle_beta 90.00
_cell_angle_gamma 90.00
_symmetry_space_group_name_H-M 'P 1'
_symmetry_Int_Tables_number 1
_symmetry_space_group_name_Hall 'P 1'
loop_
_atom_site_label
_atom_site_fract_x
_atom_site_fract_y
_atom_site_fract_z
Au1 0.0000 0.0000 0.3045
Sc1 0.5000 0.5000 0.8414
Sm1 0.5000 0.5000 0.5000
Sc2 0.5000 0.5000 0.1586
Au2 0.0000 0.0000 0.0000
Au3 0.0000 0.0000 0.6955



# PBE SmScSnAu, relaxed
# ΔE_f: -664 meV per atom
# final energy: -5.247 eV/atom
# space group: F-43m, No. 216
data_SmScSnAu
_chemical_formula_sum 'Sm1 Sc1 Sn1 Au1'
_cell_length_a 5.1464
_cell_length_b 5.1464
_cell_length_c 5.1464
_cell_angle_alpha 60.00
_cell_angle_beta 60.00
_cell_angle_gamma 60.00
_symmetry_space_group_name_H-M 'P 1'
_symmetry_Int_Tables_number 1
_symmetry_space_group_name_Hall 'P 1'
loop_
_atom_site_label
_atom_site_fract_x
_atom_site_fract_y
_atom_site_fract_z
Sn1 0.0000 0.0000 0.0000
Sc1 0.7500 0.7500 0.7500
Au1 0.5000 0.5000 0.5000
Sm1 0.2500 0.2500 0.2500



# PBE SmScTcAu, relaxed
# ΔE_f: -318 meV per atom
# final energy: -6.492 eV/atom
# space group: F-43m, No. 216
data_SmScTcAu
_chemical_formula_sum 'Sm1 Sc1 Tc1 Au1'
_cell_length_a 4.8760
_cell_length_b 4.8760
_cell_length_c 4.8760
_cell_angle_alpha 60.00
_cell_angle_beta 60.00
_cell_angle_gamma 60.00
_symmetry_space_group_name_H-M 'P 1'
_symmetry_Int_Tables_number 1
_symmetry_space_group_name_Hall 'P 1'
loop_
_atom_site_label
_atom_site_fract_x
_atom_site_fract_y
_atom_site_fract_z
Tc1 0.5000 0.5000 0.5000
Sm1 0.7500 0.7500 0.7500
Sc1 0.2500 0.2500 0.2500
Au1 0.0000 0.0000 0.0000



# PBE SmScZn2Au4, relaxed
# ΔE_f: -603 meV per atom
# final energy: -3.942 eV/atom
# space group: R-3m, No. 166
data_SmScZn2Au4
_chemical_formula_sum 'Sm1 Sc1 Zn2 Au4'
_cell_length_a 4.7002
_cell_length_b 4.7002
_cell_length_c 8.5652
_cell_angle_alpha 74.08
_cell_angle_beta 74.08
_cell_angle_gamma 60.00
_symmetry_space_group_name_H-M 'P 1'
_symmetry_Int_Tables_number 1
_symmetry_space_group_name_Hall 'P 1'
loop_
_atom_site_label
_atom_site_fract_x
_atom_site_fract_y
_atom_site_fract_z
Sm1 0.0000 0.0000 0.0000
Au1 0.8709 0.8709 0.3873
Au2 0.3871 0.3871 0.8388
Au3 0.6129 0.6129 0.1612
Zn1 0.7532 0.7532 0.7404
Sc1 0.5000 0.5000 0.5000
Zn2 0.2468 0.2468 0.2596
Au4 0.1291 0.1291 0.6127



# PBE SmScZnAu, relaxed
# ΔE_f: -564 meV per atom
# final energy: -4.464 eV/atom
# offset from the most stable computed form: 0.0 meV/atom
# space group: P4mm, No. 99
data_SmScZnAu
_chemical_formula_sum 'Sm1 Sc1 Zn1 Au1'
_cell_length_a 3.5217
_cell_length_b 3.5217
_cell_length_c 7.0080
_cell_angle_alpha 90.00
_cell_angle_beta 90.00
_cell_angle_gamma 90.00
_symmetry_space_group_name_H-M 'P 1'
_symmetry_Int_Tables_number 1
_symmetry_space_group_name_Hall 'P 1'
loop_
_atom_site_label
_atom_site_fract_x
_atom_site_fract_y
_atom_site_fract_z
Au1 0.0000 0.0000 0.3209
Zn1 0.0000 0.0000 0.8912
Sc1 0.5000 0.5000 0.1054
Sm1 0.5000 0.5000 0.6104



# PBE SmScZnAu, relaxed
# ΔE_f: -530 meV per atom
# final energy: -4.431 eV/atom
# offset from the most stable computed form: 33.8 meV/atom
# space group: F-43m, No. 216
data_SmScZnAu
_chemical_formula_sum 'Sm1 Sc1 Zn1 Au1'
_cell_length_a 4.9988
_cell_length_b 4.9988
_cell_length_c 4.9988
_cell_angle_alpha 60.00
_cell_angle_beta 60.00
_cell_angle_gamma 60.00
_symmetry_space_group_name_H-M 'P 1'
_symmetry_Int_Tables_number 1
_symmetry_space_group_name_Hall 'P 1'
loop_
_atom_site_label
_atom_site_fract_x
_atom_site_fract_y
_atom_site_fract_z
Au1 0.0000 0.0000 0.0000
Zn1 0.5000 0.5000 0.5000
Sc1 0.7500 0.7500 0.7500
Sm1 0.2500 0.2500 0.2500



# PBE ScSn3Au, relaxed
# ΔE_f: 348 meV per atom
# final energy: -3.975 eV/atom
# offset from the most stable computed form: 0.0 meV/atom
# space group: Pm-3m, No. 221
data_ScSn3Au
_chemical_formula_sum 'Sc1 Sn3 Au1'
_cell_length_a 5.3520
_cell_length_b 5.3520
_cell_length_c 5.3520
_cell_angle_alpha 90.00
_cell_angle_beta 90.00
_cell_angle_gamma 90.00
_symmetry_space_group_name_H-M 'P 1'
_symmetry_Int_Tables_number 1
_symmetry_space_group_name_Hall 'P 1'
loop_
_atom_site_label
_atom_site_fract_x
_atom_site_fract_y
_atom_site_fract_z
Sn1 0.5000 0.0000 0.0000
Sc1 0.5000 0.5000 0.5000
Sn2 0.0000 0.5000 0.0000
Au1 0.0000 0.0000 0.0000
Sn3 0.0000 0.0000 0.5000



# PBE ScSn2Au2, relaxed
# ΔE_f: -204 meV per atom
# final energy: -4.382 eV/atom
# offset from the most stable computed form: 119.3 meV/atom
# space group: P4/mbm, No. 127
data_ScSn2Au2
_chemical_formula_sum 'Sc2 Sn4 Au4'
_cell_length_a 7.9299
_cell_length_b 7.9299
_cell_length_c 3.5480
_cell_angle_alpha 90.00
_cell_angle_beta 90.00
_cell_angle_gamma 90.00
_symmetry_space_group_name_H-M 'P 1'
_symmetry_Int_Tables_number 1
_symmetry_space_group_name_Hall 'P 1'
loop_
_atom_site_label
_atom_site_fract_x
_atom_site_fract_y
_atom_site_fract_z
Sc1 0.0000 0.0000 0.0000
Sn1 0.8548 0.6452 0.0000
Au1 0.6565 0.8435 0.5000
Sn2 0.6452 0.1452 0.0000
Au2 0.1565 0.6565 0.5000
Au3 0.8435 0.3435 0.5000
Sn3 0.3548 0.8548 0.0000
Au4 0.3435 0.1565 0.5000
Sn4 0.1452 0.3548 0.0000
Sc2 0.5000 0.5000 0.0000



# PBE Sc2SnAu, relaxed
# ΔE_f: -662 meV per atom
# final energy: -5.648 eV/atom
# space group: P4/mmm, No. 123
data_Sc2SnAu
_chemical_formula_sum 'Sc2 Sn1 Au1'
_cell_length_a 3.9452
_cell_length_b 4.6280
_cell_length_c 4.6280
_cell_angle_alpha 90.00
_cell_angle_beta 90.00
_cell_angle_gamma 90.00
_symmetry_space_group_name_H-M 'P 1'
_symmetry_Int_Tables_number 1
_symmetry_space_group_name_Hall 'P 1'
loop_
_atom_site_label
_atom_site_fract_x
_atom_site_fract_y
_atom_site_fract_z
Au1 0.5000 0.5000 0.5000
Sc1 0.0000 0.0000 0.5000
Sn1 0.5000 0.0000 0.0000
Sc2 0.0000 0.5000 0.0000